# SrZnAu2, optimized geometry, DFT PBE
# SG	P2/m (10)
# energy of formation from the pure elements	-1.74	eV per formula unit
# volume	22.184	Å³/atom
# magnetization	0.00	μB per formula unit
data_SrZnAu2
_chemical_formula_sum 'Sr1 Zn1 Au2'
_space_group_name_H-M_alt 'P 1'
_space_group_IT_number 1
_cell_length_a 3.529
_cell_length_b 3.613
_cell_length_c 7.847
_cell_angle_alpha 62.48
_cell_angle_beta 90.00
_cell_angle_gamma 90.00
loop_
_space_group_symop_operation_xyz
'x,y,z'
loop_
_atom_site_label
_atom_site_fract_x
_atom_site_fract_y
_atom_site_fract_z
Au1 0.000 0.451 0.547
Zn1 0.500 0.750 0.750
Sr1 0.500 0.250 0.250
Au2 0.000 0.049 0.953

# SrZn2Au, optimized geometry, DFT PBE
# SG	P4mm (99)
# energy of formation from the pure elements	-1.00	eV per formula unit
# volume	22.525	Å³/atom
# magnetization	0.00	μB per formula unit
data_SrZn2Au
_chemical_formula_sum 'Sr1 Zn2 Au1'
_space_group_name_H-M_alt 'P 1'
_space_group_IT_number 1
_cell_length_a 3.625
_cell_length_b 3.625
_cell_length_c 6.858
_cell_angle_alpha 90.00
_cell_angle_beta 90.00
_cell_angle_gamma 90.00
loop_
_space_group_symop_operation_xyz
'x,y,z'
loop_
_atom_site_label
_atom_site_fract_x
_atom_site_fract_y
_atom_site_fract_z
Zn1 0.000 0.000 0.061
Zn2 0.500 0.500 0.249
Sr1 0.500 0.500 0.742
Au1 0.000 0.000 0.449

# Sr6Zn2Au, optimized geometry, DFT PBE
# SG	Immm (71)
# energy of formation from the pure elements	-1.95	eV per formula unit
# volume	37.674	Å³/atom
# magnetization	0.00	μB per formula unit
data_Sr6Zn2Au
_chemical_formula_sum 'Sr12 Zn4 Au2'
_space_group_name_H-M_alt 'P 1'
_space_group_IT_number 1
_cell_length_a 9.587
_cell_length_b 9.587
_cell_length_c 9.587
_cell_angle_alpha 109.01
_cell_angle_beta 108.90
_cell_angle_gamma 110.50
loop_
_space_group_symop_operation_xyz
'x,y,z'
loop_
_atom_site_label
_atom_site_fract_x
_atom_site_fract_y
_atom_site_fract_z
Zn1 0.500 0.611 0.111
Sr1 0.079 0.248 0.831
Zn2 0.346 0.000 0.346
Sr2 0.811 0.733 0.545
Sr3 0.307 0.637 0.330
Sr4 0.811 0.267 0.078
Sr5 0.693 0.023 0.330
Zn3 0.654 0.000 0.654
Au1 0.000 0.500 0.500
Sr6 0.921 0.752 0.169
Au2 0.000 0.000 0.000
Zn4 0.500 0.389 0.889
Sr7 0.189 0.733 0.922
Sr8 0.189 0.267 0.455
Sr9 0.418 0.248 0.169
Sr10 0.582 0.752 0.831
Sr11 0.307 0.977 0.670
Sr12 0.693 0.363 0.670

# SrZn3Au9, optimized geometry, DFT PBE
# SG	C2/m (12)
# energy of formation from the pure elements	-4.03	eV per formula unit
# volume	18.786	Å³/atom
# magnetization	0.00	μB per formula unit
data_SrZn3Au9
_chemical_formula_sum 'Sr1 Zn3 Au9'
_space_group_name_H-M_alt 'P 1'
_space_group_IT_number 1
_cell_length_a 5.454
_cell_length_b 7.001
_cell_length_c 7.289
_cell_angle_alpha 83.04
_cell_angle_beta 68.03
_cell_angle_gamma 71.10
loop_
_space_group_symop_operation_xyz
'x,y,z'
loop_
_atom_site_label
_atom_site_fract_x
_atom_site_fract_y
_atom_site_fract_z
Au1 0.472 0.783 0.221
Au2 0.039 0.335 0.644
Au3 0.693 0.783 0.779
Au4 0.000 0.500 0.000
Au5 0.307 0.217 0.221
Zn1 0.500 0.000 0.500
Au6 0.683 0.335 0.356
Au7 0.528 0.217 0.779
Zn2 0.000 0.000 0.500
Zn3 0.500 0.500 0.000
Au8 0.961 0.665 0.356
Sr1 0.000 0.000 0.000
Au9 0.317 0.665 0.644

# SrZn3Au3, optimized geometry, DFT PBE
# SG	R-3 (148)
# energy of formation from the pure elements	-2.19	eV per formula unit
# volume	20.879	Å³/atom
# energy relative to the lowest polymorph listed for this composition	12.2	meV per atom
# magnetization	0.00	μB per formula unit
data_SrZn3Au3
_chemical_formula_sum 'Sr2 Zn6 Au6'
_space_group_name_H-M_alt 'P 1'
_space_group_IT_number 1
_cell_length_a 7.119
_cell_length_b 7.119
_cell_length_c 7.826
_cell_angle_alpha 62.95
_cell_angle_beta 62.95
_cell_angle_gamma 60.00
loop_
_space_group_symop_operation_xyz
'x,y,z'
loop_
_atom_site_label
_atom_site_fract_x
_atom_site_fract_y
_atom_site_fract_z
Au1 0.689 0.920 0.235
Zn1 0.720 0.106 0.624
Au2 0.920 0.157 0.235
Zn2 0.280 0.894 0.376
Zn3 0.451 0.280 0.376
Sr1 0.663 0.663 0.011
Au3 0.157 0.689 0.235
Sr2 0.337 0.337 0.989
Zn4 0.106 0.549 0.624
Zn5 0.549 0.720 0.624
Zn6 0.894 0.451 0.376
Au4 0.080 0.843 0.765
Au5 0.311 0.080 0.765
Au6 0.843 0.311 0.765

# SrZn2Au, optimized geometry, DFT PBE
# SG	I-42d (122)
# energy of formation from the pure elements	-1.17	eV per formula unit
# volume	26.800	Å³/atom
# magnetization	0.00	μB per formula unit
data_SrZn2Au
_chemical_formula_sum 'Sr2 Zn4 Au2'
_space_group_name_H-M_alt 'P 1'
_space_group_IT_number 1
_cell_length_a 4.798
_cell_length_b 4.798
_cell_length_c 9.913
_cell_angle_alpha 75.99
_cell_angle_beta 75.99
_cell_angle_gamma 90.00
loop_
_space_group_symop_operation_xyz
'x,y,z'
loop_
_atom_site_label
_atom_site_fract_x
_atom_site_fract_y
_atom_site_fract_z
Sr1 0.500 0.500 0.000
Au1 0.000 0.000 0.000
Zn1 0.872 0.125 0.250
Sr2 0.250 0.750 0.500
Zn2 0.875 0.122 0.750
Zn3 0.878 0.625 0.250
Au2 0.750 0.250 0.500
Zn4 0.375 0.128 0.750

# SrZnAu, optimized geometry, DFT PBE
# SG	P-6m2 (187)
# energy of formation from the pure elements	-1.74	eV per formula unit
# volume	25.900	Å³/atom
# magnetization	0.00	μB per formula unit
data_SrZnAu
_chemical_formula_sum 'Sr1 Zn1 Au1'
_space_group_name_H-M_alt 'P 1'
_space_group_IT_number 1
_cell_length_a 4.583
_cell_length_b 4.583
_cell_length_c 4.272
_cell_angle_alpha 90.00
_cell_angle_beta 90.00
_cell_angle_gamma 120.00
loop_
_space_group_symop_operation_xyz
'x,y,z'
loop_
_atom_site_label
_atom_site_fract_x
_atom_site_fract_y
_atom_site_fract_z
Au1 0.000 0.000 0.834
Sr1 0.667 0.333 0.333
Zn1 0.333 0.667 0.833

# SrZn4Au4, optimized geometry, DFT PBE
# SG	P4_2/nmc (137)
# energy of formation from the pure elements	-3.18	eV per formula unit
# volume	19.819	Å³/atom
# magnetization	0.00	μB per formula unit
data_SrZn4Au4
_chemical_formula_sum 'Sr2 Zn8 Au8'
_space_group_name_H-M_alt 'P 1'
_space_group_IT_number 1
_cell_length_a 6.238
_cell_length_b 6.238
_cell_length_c 9.169
_cell_angle_alpha 90.00
_cell_angle_beta 90.00
_cell_angle_gamma 90.00
loop_
_space_group_symop_operation_xyz
'x,y,z'
loop_
_atom_site_label
_atom_site_fract_x
_atom_site_fract_y
_atom_site_fract_z
Au1 0.000 0.278 0.699
Au2 0.500 0.222 0.801
Au3 0.000 0.722 0.699
Zn1 0.223 0.500 0.909
Au4 0.778 0.500 0.199
Au5 0.278 0.000 0.301
Zn2 0.723 0.000 0.591
Zn3 0.277 0.000 0.591
Au6 0.222 0.500 0.199
Sr1 0.500 0.500 0.500
Zn4 0.000 0.277 0.409
Au7 0.722 0.000 0.301
Au8 0.500 0.778 0.801
Zn5 0.500 0.777 0.091
Zn6 0.000 0.723 0.409
Zn7 0.777 0.500 0.909
Sr2 0.000 0.000 0.000
Zn8 0.500 0.223 0.091

# Sr4ZnAu2, optimized geometry, DFT PBE
# SG	R-3m (166)
# energy of formation from the pure elements	-3.33	eV per formula unit
# volume	34.510	Å³/atom
# magnetization	0.00	μB per formula unit
data_Sr4ZnAu2
_chemical_formula_sum 'Sr4 Zn1 Au2'
_space_group_name_H-M_alt 'P 1'
_space_group_IT_number 1
_cell_length_a 5.367
_cell_length_b 5.367
_cell_length_c 10.167
_cell_angle_alpha 74.69
_cell_angle_beta 74.69
_cell_angle_gamma 60.00
loop_
_space_group_symop_operation_xyz
'x,y,z'
loop_
_atom_site_label
_atom_site_fract_x
_atom_site_fract_y
_atom_site_fract_z
Sr1 0.380 0.380 0.860
Sr2 0.620 0.620 0.140
Au1 0.091 0.091 0.728
Au2 0.909 0.909 0.272
Sr3 0.205 0.205 0.384
Zn1 0.000 0.000 0.000
Sr4 0.795 0.795 0.616

# Sr2Zn3Au2, optimized geometry, DFT PBE
# SG	C2/m (12)
# energy of formation from the pure elements	-3.22	eV per formula unit
# volume	23.453	Å³/atom
# magnetization	0.00	μB per formula unit
data_Sr2Zn3Au2
_chemical_formula_sum 'Sr2 Zn3 Au2'
_space_group_name_H-M_alt 'P 1'
_space_group_IT_number 1
_cell_length_a 4.384
_cell_length_b 5.973
_cell_length_c 7.513
_cell_angle_alpha 114.27
_cell_angle_beta 90.00
_cell_angle_gamma 111.53
loop_
_space_group_symop_operation_xyz
'x,y,z'
loop_
_atom_site_label
_atom_site_fract_x
_atom_site_fract_y
_atom_site_fract_z
Zn1 0.637 0.273 0.427
Zn2 0.363 0.727 0.573
Au1 0.140 0.281 0.211
Zn3 0.500 0.000 0.000
Sr1 0.138 0.276 0.764
Sr2 0.862 0.724 0.236
Au2 0.860 0.719 0.789

# Sr2ZnAu, optimized geometry, DFT PBE
# SG	P2_1/m (11)
# energy of formation from the pure elements	-2.04	eV per formula unit
# volume	30.879	Å³/atom
# energy relative to the lowest polymorph listed for this composition	1.8	meV per atom
# magnetization	0.00	μB per formula unit
data_Sr2ZnAu
_chemical_formula_sum 'Sr4 Zn2 Au2'
_space_group_name_H-M_alt 'P 1'
_space_group_IT_number 1
_cell_length_a 4.642
_cell_length_b 6.312
_cell_length_c 9.033
_cell_angle_alpha 111.03
_cell_angle_beta 90.00
_cell_angle_gamma 90.00
loop_
_space_group_symop_operation_xyz
'x,y,z'
loop_
_atom_site_label
_atom_site_fract_x
_atom_site_fract_y
_atom_site_fract_z
Zn1 0.750 0.630 0.781
Sr1 0.750 0.220 0.927
Zn2 0.250 0.370 0.219
Au1 0.250 0.375 0.718
Sr2 0.250 0.788 0.569
Sr3 0.750 0.212 0.431
Au2 0.750 0.625 0.282
Sr4 0.250 0.780 0.073

- energy of formation from the pure elements of number 5 (SrZn3Au3)?
  -2.19 eV per formula unit